First-principles (GGA-PBE) data for a relaxed BeCd2Au6 crystal, as listed in Alexandria.

```
data_BeCd2Au6
_chemical_formula_sum 'Be1 Cd2 Au6'
_space_group_name_H-M_alt 'P 1'
_space_group_IT_number 1
_cell_length_a 3.355
_cell_length_b 7.439
_cell_length_c 7.439
_cell_angle_alpha 120.00
_cell_angle_beta 90.00
_cell_angle_gamma 90.00
loop_
_space_group_symop_operation_xyz
'x,y,z'
loop_
_atom_site_label
_atom_site_type_symbol
_atom_site_fract_x
_atom_site_fract_y
_atom_site_fract_z
Au1 Au 0.500 0.000 0.756
Au2 Au 0.000 0.000 0.365
Au3 Au 0.500 0.244 0.244
Au4 Au 0.000 0.635 0.635
Au5 Au 0.000 0.365 0.000
Au6 Au 0.500 0.756 0.000
Cd1 Cd 0.500 0.333 0.667
Cd2 Cd 0.500 0.667 0.333
Be1 Be 0.000 0.000 0.000
```

Crystal system: hexagonal
E_tot (eV for the cell shown): -26.1
ΔH_f (0 K) (eV/atom): -0.09
DOS(E_F) (states/eV per cell): 1.385

=====

First-principles (GGA-PBE) data for a relaxed NaZnBrCl2 crystal, as listed in Alexandria.

```
data_NaZnBrCl2
_chemical_formula_sum 'Na1 Zn1 Br1 Cl2'
_space_group_name_H-M_alt 'P 1'
_space_group_IT_number 1
_cell_length_a 4.868
_cell_length_b 4.868
_cell_length_c 5.340
_cell_angle_alpha 90.00
_cell_angle_beta 90.00
_cell_angle_gamma 90.00
loop_
_space_group_symop_operation_xyz
'x,y,z'
loop_
_atom_site_label
_atom_site_type_symbol
_atom_site_fract_x
_atom_site_fract_y
_atom_site_fract_z
Zn1 Zn 0.000 0.000 0.000
Cl1 Cl 0.500 0.000 0.000
Cl2 Cl 0.000 0.500 0.000
Br1 Br 0.000 0.000 0.500
Na1 Na 0.500 0.500 0.500
```

Crystal system: tetragonal
Energy relative to the elements, uncorrected (meV/atom): -1127
E_tot (eV for the cell shown): -13.6

=====

First-principles (GGA-PBE) data for a relaxed BeRu2Au crystal, as listed in Alexandria.

```
data_BeRu2Au
_chemical_formula_sum 'Be1 Ru2 Au1'
_space_group_name_H-M_alt 'P 1'
_space_group_IT_number 1
_cell_length_a 3.926
_cell_length_b 2.796
_cell_length_c 5.300
_cell_angle_alpha 72.75
_cell_angle_beta 90.00
_cell_angle_gamma 90.00
loop_
_space_group_symop_operation_xyz
'x,y,z'
loop_
_atom_site_label
_atom_site_type_symbol
_atom_site_fract_x
_atom_site_fract_y
_atom_site_fract_z
Au1 Au 0.500 0.250 0.250
Ru1 Ru 0.000 0.593 0.538
Ru2 Ru 0.000 0.907 0.962
Be1 Be 0.500 0.750 0.750
```

Crystal system: monoclinic
E_tot (eV for the cell shown): -24.6
ΔH_f (0 K) (eV/atom): 0.24
DOS(E_F) (states/eV per cell): 3.786